Record 1
VASP calculation (PBE) on a geometry-optimized Tb2PrIr structure.

a b c (Å): 3.837 3.837 10.819
angles (deg): 79.78 79.78 60.00
Positions (direct):
Pr 0.000 0.000 0.000
Tb 0.884 0.884 0.347
Tb 0.116 0.116 0.653
Ir 0.500 0.500 0.500

Calculated values
Energy of formation from the pure elements (eV/f.u.): -0.74
Symmetry: R-3m (166)

=====

Record 2
VASP calculation (PBE) on a geometry-optimized Tb2PrIr structure.

a b c (Å): 6.512 7.319 9.499
angles (deg): 90.00 90.00 90.00
Positions (direct):
Tb 0.169 0.675 0.435
Tb 0.831 0.325 0.935
Pr 0.365 0.465 0.750
Tb 0.669 0.825 0.935
Tb 0.669 0.825 0.565
Ir 0.931 0.617 0.750
Tb 0.331 0.175 0.065
Tb 0.331 0.175 0.435
Tb 0.831 0.325 0.565
Tb 0.169 0.675 0.065
Ir 0.069 0.383 0.250
Pr 0.635 0.535 0.250
Ir 0.569 0.117 0.750
Ir 0.431 0.883 0.250
Pr 0.865 0.035 0.250
Pr 0.135 0.965 0.750

Calculated values
Energy of formation from the pure elements (eV/f.u.): -2.07
Symmetry: Pnma (62)

=====

Record 3
VASP calculation (PBE) on a geometry-optimized Tb2Pr5Ir4 structure.

a b c (Å): 3.909 7.220 12.113
angles (deg): 107.79 99.28 90.00
Positions (direct):
Ir 0.996 0.313 0.993
Tb 0.264 0.299 0.527
Pr 0.129 0.852 0.259
Pr 0.120 0.365 0.241
Pr 0.871 0.148 0.741
Ir 0.440 0.448 0.880
Tb 0.736 0.701 0.473
Ir 0.560 0.552 0.120
Ir 0.004 0.687 0.007
Pr 0.500 0.000 0.000
Pr 0.880 0.635 0.759

Calculated values
Energy of formation from the pure elements (eV/f.u.): -1.52
Symmetry: C2/m (12)

=====

Record 4
VASP calculation (PBE) on a geometry-optimized TbPr5Ir4 structure.

a b c (Å): 4.326 7.656 9.672
angles (deg): 113.41 102.92 90.00
Positions (direct):
Pr 0.500 0.500 0.000
Pr 0.835 0.078 0.671
Ir 0.000 0.244 0.000
Ir 0.697 0.197 0.394
Ir 0.000 0.756 0.000
Tb 0.500 0.000 0.000
Pr 0.836 0.593 0.671
Ir 0.303 0.803 0.606
Pr 0.164 0.407 0.329
Pr 0.165 0.922 0.329

Calculated values
Energy of formation from the pure elements (eV/f.u.): -5.19
Symmetry: C2/m (12)

=====

Record 5
VASP calculation (PBE) on a geometry-optimized Tb3PrIr structure.

a b c (Å): 5.482 5.482 5.482
angles (deg): 90.00 90.00 90.00
Positions (direct):
Ir 0.000 0.000 0.000
Tb 0.000 0.000 0.500
Tb 0.000 0.500 0.000
Pr 0.500 0.500 0.500
Tb 0.500 0.000 0.000

Calculated values
Energy of formation from the pure elements (eV/f.u.): -1.40
Symmetry: Pm-3m (221)

=====

Record 6
VASP calculation (PBE) on a geometry-optimized Tb4Pr3Ir4 structure.

a b c (Å): 4.010 8.720 9.354
angles (deg): 117.78 102.38 90.00
Positions (direct):
Ir 0.242 0.742 0.485
Tb 0.332 0.523 0.663
Ir 0.500 0.781 0.000
Pr 0.101 0.101 0.202
Tb 0.332 0.140 0.663
Tb 0.668 0.860 0.337
Tb 0.668 0.477 0.337
Pr 0.899 0.899 0.798
Pr 0.000 0.500 0.000
Ir 0.758 0.258 0.515
Ir 0.500 0.219 0.000

Calculated values
Energy of formation from the pure elements (eV/f.u.): -6.47
Symmetry: Immm (71)

=====

- Which formula does entry 3 have?
  Tb2Pr5Ir4